The following is a PBE calculation of a relaxed structure of NdInPt, from the Alexandria database.

Calculated values
Formation energy from the elements ... -961 meV/atom

a b c (Å): 7.8057 7.8057 3.9888
angles (deg): 90.00 90.00 120.00
Atoms (fractional coordinates):
Nd 0.0000 0.5908 0.0000
Nd 0.4092 0.4092 0.0000
Nd 0.5908 0.0000 0.0000
In 0.0000 0.2556 0.5000
In 0.2556 0.0000 0.5000
In 0.7444 0.7444 0.5000
Pt 0.0000 0.0000 0.0000
Pt 0.3333 0.6667 0.5000
Pt 0.6667 0.3333 0.5000

=====

The following is a PBE calculation of a relaxed structure of SrMgCo2, from the Alexandria database.

Calculated values
Relative energy among the computed polymorphs ... 132 meV per atom
Formation energy from the elements ... 273 meV/atom

a b c (Å): 3.8618 5.7830 5.7830
angles (deg): 42.29 90.00 90.00
Atoms (fractional coordinates):
Sr 0.0000 0.0000 0.0000
Mg 0.5000 0.7244 0.7244
Co 0.0000 0.2830 0.2830
Co 0.5000 0.3778 0.3778

=====

The following is a PBE calculation of a relaxed structure of Sc2Si2Au, from the Alexandria database.

Calculated values
Formation energy from raw total energies ... -226 meV/atom
Relative energy among the computed polymorphs ... 565 meV per atom

a b c (Å): 5.3007 5.3007 5.3007
angles (deg): 120.97 120.97 88.33
Atoms (fractional coordinates):
Sc 0.2500 0.7500 0.5000
Sc 0.7500 0.2500 0.5000
Si 0.1606 0.1606 0.0000
Si 0.8394 0.8394 0.0000
Au 0.5000 0.5000 0.0000

=====

The following is a PBE calculation of a relaxed structure of TaTlNi2, from the Alexandria database.

Calculated values
Relative energy among the computed polymorphs ... 434 meV per atom
Formation energy from the elements ... 448 meV/atom

a b c (Å): 8.5430 8.5430 8.5430
angles (deg): 20.33 20.33 20.33
Atoms (fractional coordinates):
Ta 0.0000 0.0000 0.0000
Tl 0.7703 0.7703 0.7703
Ni 0.2578 0.2578 0.2578
Ni 0.5197 0.5197 0.5197

=====

The following is a PBE calculation of a relaxed structure of PmHo5Tl6, from the Alexandria database.

Calculated values
Relative energy among the computed polymorphs ... 87 meV per atom
Formation energy from the elements ... -248 meV/atom

a b c (Å): 7.4579 7.4579 6.5687
angles (deg): 98.29 98.29 97.84
Atoms (fractional coordinates):
Pm 0.0000 0.0000 0.0000
Ho 0.1664 0.8336 0.5000
Ho 0.3352 0.6648 0.0000
Ho 0.5000 0.5000 0.5000
Ho 0.6648 0.3352 0.0000
Ho 0.8336 0.1664 0.5000
Tl 0.0821 0.4220 0.2538
Tl 0.2516 0.2516 0.7432
Tl 0.4220 0.0821 0.2538
Tl 0.5780 0.9179 0.7462
Tl 0.7484 0.7484 0.2568
Tl 0.9179 0.5780 0.7462

=====

The following is a PBE calculation of a relaxed structure of CoCu2Br, from the Alexandria database.

Calculated values
Formation energy from raw total energies ... 532 meV/atom
Relative energy among the computed polymorphs ... 188 meV per atom

a b c (Å): 4.2122 4.2122 5.4626
angles (deg): 91.75 91.75 46.29
Atoms (fractional coordinates):
Co 0.0000 0.0000 0.0000
Cu 0.2885 0.2885 0.8391
Cu 0.7115 0.7115 0.1609
Br 0.5000 0.5000 0.5000

=====

The following is a PBE calculation of a relaxed structure of TlCuSb2C, from the Alexandria database.

Calculated values
Formation energy from raw total energies ... 714 meV/atom

a b c (Å): 5.2195 5.2195 3.7946
angles (deg): 90.00 90.00 90.00
Atoms (fractional coordinates):
Tl 0.0000 0.0000 0.0000
Cu 0.5000 0.5000 0.0000
Sb 0.0000 0.5000 0.5000
Sb 0.5000 0.0000 0.5000
C 0.5000 0.5000 0.5000

=====

The following is a PBE calculation of a relaxed structure of CsMgTlSb2, from the Alexandria database.

Calculated values
Formation energy from raw total energies ... 487 meV/atom

a b c (Å): 5.7827 5.7827 7.0001
angles (deg): 90.00 90.00 90.00
Atoms (fractional coordinates):
Cs 0.0000 0.0000 0.0000
Mg 0.5000 0.5000 0.0000
Tl 0.0000 0.0000 0.5000
Sb 0.0000 0.5000 0.5000
Sb 0.5000 0.0000 0.5000

=====

The following is a PBE calculation of a relaxed structure of As2IrSe, from the Alexandria database.

Calculated values
Formation energy from raw total energies ... 203 meV/atom

a b c (Å): 6.1363 6.1363 6.1363
angles (deg): 151.97 135.67 53.27
Atoms (fractional coordinates):
As 0.1921 0.1921 0.0000
As 0.8079 0.8079 0.0000
Ir 0.0000 0.5000 0.5000
Se 0.5000 0.0000 0.5000

=====

The following is a PBE calculation of a relaxed structure of ZnRu3, from the Alexandria database.

Calculated values
Formation energy from the elements ... 91 meV/atom

a b c (Å): 2.7383 2.7383 7.4566
angles (deg): 90.00 90.00 90.00
Atoms (fractional coordinates):
Zn 0.0000 0.0000 0.0000
Ru 0.0000 0.0000 0.5000
Ru 0.5000 0.5000 0.2541
Ru 0.5000 0.5000 0.7459

=====

The following is a PBE calculation of a relaxed structure of CaSiMo, from the Alexandria database.

Calculated values
Formation energy from raw total energies ... 297 meV/atom

a b c (Å): 3.4196 3.4196 6.1509
angles (deg): 90.00 90.00 120.00
Atoms (fractional coordinates):
Ca 0.0000 0.0000 0.0000
Si 0.3333 0.6667 0.6334
Mo 0.6667 0.3333 0.4006

=====

The following is a PBE calculation of a relaxed structure of PaBeCo, from the Alexandria database.

Calculated values
Relative energy among the computed polymorphs ... 538 meV per atom
Formation energy from the elements ... 239 meV/atom

a b c (Å): 5.1780 5.1780 5.1780
angles (deg): 39.25 39.25 39.25
Atoms (fractional coordinates):
Pa 0.0000 0.0000 0.0000
Be 0.1909 0.1909 0.1909
Co 0.7871 0.7871 0.7871

=====

| no. | V (Å³ per atom) |
| --- | --- |
| 1 | 23.39 |
| 2 | 21.73 |
| 3 | 20.74 |
| 4 | 16.46 |
| 5 | 29.43 |
| 6 | 17.51 |
| 7 | 20.68 |
| 8 | 46.82 |
| 9 | 18.87 |
| 10 | 13.98 |
| 11 | 20.76 |
| 12 | 16.67 |